(1)
## CaCu2I (GGA-PBE)

Data for a relaxed CaCu2I crystal.

Geometry as CIF:
```
data_CaCu2I
_cell_length_a 8.188
_cell_length_b 8.188
_cell_length_c 5.804
_cell_angle_alpha 90.00
_cell_angle_beta 90.00
_cell_angle_gamma 90.00
_symmetry_space_group_name_H-M 'I -4 2 d'
_symmetry_Int_Tables_number 122
_symmetry_space_group_name_Hall 'I -4 2bw'
loop_
_atom_site_label
_atom_site_fract_x
_atom_site_fract_y
_atom_site_fract_z
Ca1 0.000 0.000 0.000
Cu1 0.225 0.250 0.625
I1 0.000 0.000 0.500
```

Output
raw formation energy = 0.109 eV per atom
final energy = -2.8275 eV/atom
distance to the lowest polymorph of the same formula = 0.0 meV/atom

=====

(2)
## CsW (GGA-PBE)

Data for a relaxed CsW crystal.

Geometry as CIF:
```
data_CsW
_cell_length_a 13.2797
_cell_length_b 13.2797
_cell_length_c 3.4396
_cell_angle_alpha 90.00
_cell_angle_beta 90.00
_cell_angle_gamma 120.00
_symmetry_space_group_name_H-M 'P 63/m m c'
_symmetry_Int_Tables_number 194
_symmetry_space_group_name_Hall '-P 6c 2c'
loop_
_atom_site_label
_atom_site_fract_x
_atom_site_fract_y
_atom_site_fract_z
Cs1 0.1769 0.3538 0.2500
W1 0.0720 0.5360 0.7500
```

Output
ΔE_f = 163.3 kJ per mole of atoms
final energy = -5.2104 eV/atom
distance to the lowest polymorph of the same formula = 473.7 meV/atom

=====

(3)
## ZrZn3N4 (GGA-PBE)

Data for a relaxed ZrZn3N4 crystal.

Geometry as CIF:
```
data_ZrZn3N4
_cell_length_a 4.457
_cell_length_b 7.222
_cell_length_c 6.228
_cell_angle_alpha 90.00
_cell_angle_beta 90.00
_cell_angle_gamma 90.00
_symmetry_space_group_name_H-M 'P m m n'
_symmetry_Int_Tables_number 59
loop_
_symmetry_equiv_pos_as_xyz
'x,y,z'
'-x,-y,-z'
'-x+1/2,-y+1/2,z'
'x+1/2,y+1/2,-z'
'x+1/2,-y,-z'
'-x+1/2,y,z'
'-x,y+1/2,-z'
'x,-y+1/2,z'
loop_
_atom_site_label
_atom_site_fract_x
_atom_site_fract_y
_atom_site_fract_z
Zr1 0.250 0.250 0.164
Zn1 0.250 0.003 0.663
Zn2 0.250 0.750 0.180
N1 0.250 0.250 0.824
N2 0.250 0.503 0.335
N3 0.250 0.750 0.837
```

Output
raw formation energy = -0.106 eV per atom
final energy = -5.8145 eV/atom

=====

(4)
## Ca2VCuTc (GGA-PBE)

Data for a relaxed Ca2VCuTc crystal.

Geometry as CIF:
```
data_Ca2VCuTc
_cell_length_a 5.230
_cell_length_b 5.230
_cell_length_c 4.595
_cell_angle_alpha 90.00
_cell_angle_beta 90.00
_cell_angle_gamma 90.00
_symmetry_space_group_name_H-M 'P 4/m m m'
_symmetry_Int_Tables_number 123
_symmetry_space_group_name_Hall '-P 4 2'
loop_
_atom_site_label
_atom_site_fract_x
_atom_site_fract_y
_atom_site_fract_z
Ca1 0.000 0.500 0.000
V1 0.000 0.000 0.500
Cu1 0.000 0.000 0.000
Tc1 0.500 0.500 0.500
```

Output
ΔE_f = 117.4 kJ per mole of atoms
final energy = -4.3000 eV/atom

=====

(5)
## PaZn2Re (GGA-PBE)

Data for a relaxed PaZn2Re crystal.

Geometry as CIF:
```
data_PaZn2Re
_cell_length_a 4.709
_cell_length_b 6.410
_cell_length_c 5.060
_cell_angle_alpha 90.00
_cell_angle_beta 107.15
_cell_angle_gamma 90.00
_symmetry_space_group_name_H-M 'P 1 21/m 1'
_symmetry_Int_Tables_number 11
loop_
_symmetry_equiv_pos_as_xyz
'x,y,z'
'-x,-y,-z'
'-x,y+1/2,-z'
'x,-y+1/2,z'
loop_
_atom_site_label
_atom_site_fract_x
_atom_site_fract_y
_atom_site_fract_z
Pa1 0.041 0.250 0.145
Zn1 0.425 0.051 0.730
Re1 0.101 0.750 0.384
```

Output
ΔE_f = -7.6 kJ per mole of atoms
final energy = -6.2023 eV/atom
distance to the lowest polymorph of the same formula = 0.0 meV/atom

=====

(6)
## PPt2Se (GGA-PBE)

Data for a relaxed PPt2Se crystal.

Geometry as CIF:
```
data_PPt2Se
_cell_length_a 3.986
_cell_length_b 4.822
_cell_length_c 7.904
_cell_angle_alpha 90.00
_cell_angle_beta 90.00
_cell_angle_gamma 90.00
_symmetry_space_group_name_H-M 'A m m 2'
_symmetry_Int_Tables_number 38
loop_
_symmetry_equiv_pos_as_xyz
'x,y,z'
'-x,-y,z'
'-x,y,z'
'x,-y,z'
'x,y+1/2,z+1/2'
'-x,-y+1/2,z+1/2'
'-x,y+1/2,z+1/2'
'x,-y+1/2,z+1/2'
loop_
_atom_site_label
_atom_site_fract_x
_atom_site_fract_y
_atom_site_fract_z
P1 0.000 0.000 0.000
Pt1 0.000 0.000 0.595
Pt2 0.500 0.000 0.831
Se1 0.500 0.000 0.406
```

Output
raw formation energy = -0.183 eV per atom
final energy = -5.4267 eV/atom
distance to the lowest polymorph of the same formula = 98.6 meV/atom